(1)
The following is a GGA-PBE calculation of a geometry-optimized GdP5 structure, from the Alexandria database.

Space group ... No. 11

Lattice parameters (Å, degrees): 9.470 4.957 5.377 77.62 90.00 90.00
Last column: magnetic moment on the atom in μB.
Fractional coordinates of all 12 atoms:
P: 0.092 0.382 0.957  -0.01
Gd: 0.250 0.992 0.351  7.01
P: 0.030 0.287 0.596  -0.01
P: 0.750 0.279 0.101  -0.01
P: 0.592 0.618 0.043  -0.01
P: 0.408 0.382 0.957  -0.01
Gd: 0.750 0.008 0.649  7.01
P: 0.530 0.713 0.404  -0.01
P: 0.908 0.618 0.043  -0.01
P: 0.470 0.287 0.596  -0.01
P: 0.970 0.713 0.404  -0.01
P: 0.250 0.721 0.899  -0.01

=====

(2)
The following is a GGA-PBE calculation of a geometry-optimized GdPPd structure, from the Alexandria database.

Space group ... No. 194

Lattice parameters (Å, degrees): 4.183 4.183 7.644 90.00 90.00 120.00
Last column: magnetic moment on the atom in μB.
Fractional coordinates of all 6 atoms:
Pd: 0.667 0.333 0.250  -0.02
P: 0.667 0.333 0.750  0.02
Pd: 0.333 0.667 0.750  -0.02
Gd: 0.000 0.000 0.000  -7.01
Gd: 0.000 0.000 0.500  -7.01
P: 0.333 0.667 0.250  0.02

=====

(3)
The following is a GGA-PBE calculation of a geometry-optimized GdPPd structure, from the Alexandria database.

Space group ... No. 107

Lattice parameters (Å, degrees): 3.318 3.318 7.111 103.49 103.49 90.00
Last column: magnetic moment on the atom in μB.
Fractional coordinates of all 3 atoms:
Gd: 0.143 0.143 0.286  -7.00
Pd: 0.767 0.767 0.534  0.02
P: 0.940 0.940 0.880  0.02

=====

(4)
The following is a GGA-PBE calculation of a geometry-optimized GdP2Pd structure, from the Alexandria database.

Space group ... No. 166

Lattice parameters (Å, degrees): 3.903 3.903 7.598 75.12 75.12 60.00
Last column: magnetic moment on the atom in μB.
Fractional coordinates of all 4 atoms:
P: 0.126 0.126 0.622  0.00
Gd: 0.000 0.000 0.000  7.13
Pd: 0.500 0.500 0.500  0.02
P: 0.874 0.874 0.378  0.00

=====

(5)
The following is a GGA-PBE calculation of a geometry-optimized Gd2PPd structure, from the Alexandria database.

Space group ... No. 166

Lattice parameters (Å, degrees): 4.013 4.013 7.330 74.11 74.11 60.00
Last column: magnetic moment on the atom in μB.
Fractional coordinates of all 4 atoms:
Gd: 0.746 0.746 0.762  7.05
Pd: 0.500 0.500 0.500  0.02
P: 0.000 0.000 0.000  -0.04
Gd: 0.254 0.254 0.238  7.05

=====

(6)
The following is a GGA-PBE calculation of a geometry-optimized PmGdPPd structure, from the Alexandria database.

Space group ... No. 216

Lattice parameters (Å, degrees): 5.007 5.007 5.007 60.00 60.00 60.00
Last column: magnetic moment on the atom in μB.
Fractional coordinates of all 4 atoms:
P: 0.250 0.250 0.250  -0.05
Pd: 0.750 0.750 0.750  0.07
Pm: 0.500 0.500 0.500  0.23
Gd: 0.000 0.000 0.000  7.21

=====

Values for total DFT energy (no corrections), eV/atom, ordered as above
-7.394; -9.483; -8.245; -7.633; -10.766; -8.245
Values for calculated formation energy, eV/f.u., ordered as above
-3.23; -3.76; -0.05; -0.44; -4.30; -3.55